The following is a PBE calculation of LaTbDyEr3 after structural relaxation, from Alexandria.

Geometry as CIF:
```
data_LaTbDyEr3
_symmetry_space_group_name_H-M 'C 1 2/m 1'
_symmetry_Int_Tables_number 12
_symmetry_space_group_name_Hall '-C 2y'
_cell_length_a 19.6134
_cell_length_b 5.5980
_cell_length_c 7.1230
_cell_angle_alpha 90.00
_cell_angle_beta 90.64
_cell_angle_gamma 90.00
loop_
_atom_site_label
_atom_site_fract_x
_atom_site_fract_y
_atom_site_fract_z
La1 0.1432 0.0000 0.0324
Tb1 0.1505 0.0000 0.4535
Dy1 0.0534 0.5000 0.2777
Er1 0.0243 0.0000 0.7290
Er2 0.1628 0.5000 0.7257
Er3 0.2216 0.5000 0.2398
```

Computed properties:
The total energy is -4.43 eV/atom. Its total magnetic moment is 0.000 μB per formula unit.